CoTeIO2: optimized geometry, PBE with a Hubbard U.

```
CoTeIO2
1.0
4.070 0.000 0.000
0.000 4.070 0.000
0.000 0.000 6.211
Co Te I O
1 1 1 2
Direct
0.000 0.000 0.000 Co
0.500 0.500 0.500 Te
0.000 0.000 0.500 I
0.000 0.500 0.000 O
0.500 0.000 0.000 O
```

Properties
Magnetization   4.5 μB per cell
Calculated density   5.575 g cm⁻³
Energy above the lowest structure with this stoichiometry   418 meV/atom